A geometry-optimized Tl2VAs2O6 structure, computed with PBE with a Hubbard U.

The structure belongs to space group C2/m (No. 12); the cell edges are 8.7909, 5.6364 and 7.6088 Å and the angles 90.00°, 105.68° and 90.00°. The inequivalent atoms are Tl at (0.2152, 0.0000, 0.1560), V at (0.0000, 0.0000, 0.5000), As at (0.1081, 0.5000, 0.2841), O at (0.0174, 0.2544, 0.6851) and O at (0.2286, 0.0000, 0.5180).

As for the size of the total moment: 1.0 μB/f.u. The value obtained for the total energy is -65.09 eV per formula unit.